First-principles (PBE) data for a relaxed LiGd3 crystal, as listed in the Alexandria database.

Values from the calculation:
Space-group type   No. 44
Calculated volume   29.4 A^3/atom
Total energy   -10.971 eV/atom
ΔE to the lowest computed polymorph   0.000 eV/atom
Energy of formation   0.068 eV/atom

Unit cell a=3.738 b=5.590 c=6.550 alpha=115.26 beta=106.58 gamma=90.00
Each line ends with the local moment (μB).
Positions (direct):
Li 0.000 0.918 0.000  -0.02
Gd 0.723 0.140 0.447  -7.26
Gd 0.277 0.693 0.553  -7.26
Gd 0.500 0.417 0.000  7.16


First-principles (PBE) data for a relaxed MnNiHg2 crystal, as listed in the Alexandria database.

Values from the calculation:
Space-group type   No. 25
Calculated volume   17.1 A^3/atom
Total energy   -3.589 eV/atom
ΔE to the lowest computed polymorph   0.042 eV/atom
Energy of formation   0.300 eV/atom

Unit cell a=4.592 b=3.062 c=4.871 alpha=89.96 beta=90.00 gamma=90.00
Each line ends with the local moment (μB).
Positions (direct):
Mn 0.000 0.625 0.464  3.71
Hg 0.000 0.125 0.938  -0.03
Hg 0.500 0.125 0.314  -0.03
Ni 0.500 0.625 0.784  0.30


First-principles (PBE) data for a relaxed LaEuGdTl crystal, as listed in the Alexandria database.

Values from the calculation:
Space-group type   No. 216
Calculated volume   31.8 A^3/atom
Total energy   -8.019 eV/atom
Energy of formation   -0.106 eV/atom

Unit cell a=5.643 b=5.643 c=5.643 alpha=60.00 beta=60.00 gamma=60.00
Each line ends with the local moment (μB).
Positions (direct):
Eu 0.000 0.000 0.000  7.07
Gd 0.250 0.250 0.250  7.42
Tl 0.500 0.500 0.500  -0.04
La 0.750 0.750 0.750  0.27


First-principles (PBE) data for a relaxed ErCoPH crystal, as listed in the Alexandria database.

Values from the calculation:
Space-group type   No. 129
Calculated volume   12.7 A^3/atom
Total energy   -6.076 eV/atom

Unit cell a=3.746 b=3.746 c=7.255 alpha=90.00 beta=90.00 gamma=90.00
Each line ends with the local moment (μB).
Positions (direct):
P 0.000 0.500 0.833  0.01
P 0.500 0.000 0.167  0.01
Co 0.500 0.500 0.000  0.49
Co 0.000 0.000 0.000  0.49
Er 0.500 0.000 0.672  0.01
Er 0.000 0.500 0.328  0.01
H 0.500 0.500 0.500  0.00
H 0.000 0.000 0.500  0.00


First-principles (PBE) data for a relaxed Ba2TeP2 crystal, as listed in the Alexandria database.

Values from the calculation:
Space-group type   No. 127
Calculated volume   30.3 A^3/atom
Total energy   -4.297 eV/atom
ΔE to the lowest computed polymorph   0.111 eV/atom
Formation energy without anion corrections   -735.3 meV per atom

Unit cell a=8.158 b=8.158 c=4.556 alpha=90.00 beta=90.00 gamma=90.00
Positions (direct):
Ba 0.849 0.349 0.500
Ba 0.349 0.151 0.500
Ba 0.151 0.651 0.500
Ba 0.651 0.849 0.500
P 0.662 0.162 0.000
P 0.838 0.662 0.000
P 0.162 0.338 0.000
P 0.338 0.838 0.000
Te 0.000 0.000 0.000
Te 0.500 0.500 0.000


First-principles (PBE) data for a relaxed LaBMo crystal, as listed in the Alexandria database.

Values from the calculation:
Space-group type   No. 2
Calculated volume   21.3 A^3/atom
Total energy   -7.498 eV/atom
ΔE to the lowest computed polymorph   0.105 eV/atom
Energy of formation   -0.019 eV/atom

Unit cell a=3.972 b=4.436 c=7.539 alpha=99.05 beta=89.96 gamma=103.12
Each line ends with the local moment (μB).
Positions (direct):
Mo 0.226 0.311 0.430  -0.03
Mo 0.774 0.689 0.570  -0.03
B 0.683 0.152 0.535  0.00
B 0.317 0.848 0.465  0.00
La 0.237 0.188 0.817  0.09
La 0.763 0.812 0.183  0.09


First-principles (PBE) data for a relaxed ScSnPdAu crystal, as listed in the Alexandria database.

Values from the calculation:
Space-group type   No. 216
Calculated volume   18.8 A^3/atom
Total energy   -5.409 eV/atom
Energy of formation   -0.708 eV/atom

Unit cell a=4.741 b=4.741 c=4.741 alpha=60.00 beta=60.00 gamma=60.00
Positions (direct):
Au 0.500 0.500 0.500
Sc 0.750 0.750 0.750
Pd 0.000 0.000 0.000
Sn 0.250 0.250 0.250


First-principles (PBE) data for a relaxed Pm7Pt2Rh2 crystal, as listed in the Alexandria database.

Values from the calculation:
Space-group type   No. 65
Calculated volume   27.7 A^3/atom
Total energy   -6.001 eV/atom
ΔE to the lowest computed polymorph   0.175 eV/atom
Energy of formation   -0.543 eV/atom

Unit cell a=6.764 b=7.040 c=6.764 alpha=89.99 beta=108.73 gamma=90.01
Positions (direct):
Pm 0.000 0.000 0.000
Pm 0.500 0.732 0.000
Pm 0.000 0.732 0.500
Pm 0.500 0.259 0.500
Pm 0.500 0.268 0.000
Pm 0.000 0.268 0.500
Pm 0.500 0.741 0.500
Pt 0.811 0.500 0.811
Pt 0.189 0.500 0.189
Rh 0.710 0.000 0.290
Rh 0.290 0.000 0.710


What is the formula in the third record? LaEuGdTl


Among the records above, which one has the lowest calculated volume? ErCoPH